Cs4HgF5 PBE relaxed; total magnetic moment = 0.00 μB/f.u.; raw formation energy = -2254.7 meV per atom; symmetry = No. 79
1.0
-4.717 4.717 3.024
4.717 -4.717 3.024
4.717 4.717 -3.024
Cs Hg F
4 1 5
Cartesian
2.795 0.962 0.000 Cs
3.754 -1.921 3.024 Cs
0.962 6.638 0.000 Cs
1.921 3.754 3.024 Cs
0.000 0.000 3.086 Hg
5.587 2.029 -0.012 F
2.029 3.847 -0.012 F
2.688 0.870 3.012 F
-0.870 2.688 3.012 F
0.000 0.000 5.520 F



CePu2Cd PBE relaxed; total magnetic moment = 13.85 μB/f.u.; formation energy from the elements = 0.062 eV/atom; symmetry = No. 225
1.0
0.000 3.716 3.716
3.716 0.000 3.716
3.716 3.716 0.000
Ce Pu Cd
1 2 1
Cartesian
0.000 0.000 0.000 Ce
1.858 1.858 1.858 Pu
5.574 5.574 5.574 Pu
3.716 3.716 3.716 Cd



Al2InSe PBE relaxed; total magnetic moment = 0.00 μB/f.u.; raw formation energy = 89.2 meV per atom; symmetry = No. 119
1.0
-2.065 2.065 5.100
2.065 -2.065 5.100
2.065 2.065 -5.100
Al In Se
2 1 1
Cartesian
0.000 0.000 0.000 Al
0.000 2.065 2.550 Al
2.065 0.000 2.550 In
0.000 0.000 5.100 Se



Li6I2NCl PBE relaxed; total magnetic moment = 0.14 μB/f.u.; raw formation energy = -979.5 meV per atom; symmetry = No. 59
1.0
6.440 0.000 0.000
0.000 9.105 0.000
0.000 0.000 6.444
Li I N Cl
12 4 2 2
Cartesian
0.229 2.276 0.246 Li
0.234 2.276 3.001 Li
1.610 0.327 1.621 Li
1.610 4.225 1.621 Li
2.986 2.276 3.001 Li
2.992 2.276 0.246 Li
3.449 6.829 6.198 Li
3.454 6.829 3.443 Li
4.830 4.880 4.823 Li
4.830 8.778 4.823 Li
6.206 6.829 3.443 Li
6.212 6.829 6.198 Li
1.610 9.104 4.834 I
1.610 4.554 4.834 I
4.830 0.001 1.610 I
4.830 4.551 1.610 I
1.610 2.276 1.621 N
4.830 6.829 4.823 N
1.610 6.829 1.608 Cl
4.830 2.276 4.836 Cl



PIO3 PBE relaxed; total magnetic moment = 1.96 μB/f.u.; raw formation energy = 663.8 meV per atom; symmetry = No. 221
1.0
4.134 0.000 0.000
0.000 4.134 0.000
0.000 0.000 4.134
P I O
1 1 3
Cartesian
0.000 0.000 0.000 P
2.067 2.067 2.067 I
0.000 2.067 2.067 O
2.067 0.000 2.067 O
2.067 2.067 0.000 O



LiHg2Mo PBE relaxed; total magnetic moment = 0.00 μB/f.u.; formation energy from the elements = 0.221 eV/atom; symmetry = No. 123
1.0
2.872 0.000 0.000
0.000 2.872 0.000
0.000 0.000 8.688
Li Hg Mo
1 2 1
Cartesian
0.000 0.000 0.000 Li
1.436 1.436 2.093 Hg
1.436 1.436 6.595 Hg
0.000 0.000 4.344 Mo